Below is a relaxed AlV2SiTe crystal, with properties calculated at the PBE level.

Cell lengths 4.9914, 4.9914, 5.1486 Å; angles 90.00, 90.00, 90.00 degrees
Closest atoms and distances in Å follow each position.
Fractional coordinates of all 5 atoms:
V: 0.0000 0.5000 0.0000  2 Te 2.50
V: 0.5000 0.0000 0.0000  2 Te 2.50
Si: 0.0000 0.0000 0.5000  2 Te 2.57
Te: 0.0000 0.0000 0.0000  4 V 2.50, 2 Si 2.57
Al: 0.5000 0.5000 0.5000  4 Si 3.53, 8 V 3.59

**Crystal system**: tetragonal
**Formation energy without anion corrections**: 1.363 eV per atom